{"formula": "Ho5Cd", "functional": "GGA-PBE", "state": "relaxed", "formation_energy_ev_per_atom": -0.0691, "e_above_lowest_polymorph_ev_per_atom": 0.000, "spacegroup": "C2/m (12)", "dft_energy_ev_per_atom": -4.04, "dos_at_fermi_per_ev_atom": 1.215, "lattice": [[6.088, -1.857, 0.000], [6.088, 1.857, 0.000], [-3.212, 0.000, 7.836]], "species": ["Ho", "Ho", "Ho", "Ho", "Ho", "Cd"], "frac_coords": [[0.000, 0.000, 0.000], [0.330, 0.330, 0.191], [0.353, 0.353, 0.646], [0.647, 0.647, 0.354], [0.670, 0.670, 0.809], [0.000, 0.000, 0.500]]}

---

{"formula": "Ho3Cd2", "functional": "GGA-PBE", "state": "relaxed", "formation_energy_ev_per_atom": -0.2365, "e_above_lowest_polymorph_ev_per_atom": 0.000, "spacegroup": "P4/mmm (123)", "dft_energy_ev_per_atom": -3.35, "dos_at_fermi_per_ev_atom": 1.340, "lattice": [[3.660, 0.000, 0.000], [0.000, 3.660, 0.000], [0.000, 0.000, 20.252]], "species": ["Ho", "Ho", "Ho", "Ho", "Ho", "Ho", "Cd", "Cd", "Cd", "Cd"], "frac_coords": [[0.000, 0.000, 0.000], [0.000, 0.000, 0.188], [0.000, 0.000, 0.381], [0.000, 0.000, 0.619], [0.000, 0.000, 0.812], [0.500, 0.500, 0.500], [0.500, 0.500, 0.095], [0.500, 0.500, 0.284], [0.500, 0.500, 0.716], [0.500, 0.500, 0.905]]}

---

{"formula": "HoCd5", "functional": "GGA-PBE", "state": "relaxed", "formation_energy_ev_per_atom": -0.1733, "spacegroup": "Cmmm (65)", "dft_energy_ev_per_atom": -1.70, "dos_at_fermi_per_ev_atom": 0.443, "lattice": [[2.298, -6.515, 0.000], [2.298, 6.515, 0.000], [0.000, 0.000, 4.661]], "species": ["Ho", "Cd", "Cd", "Cd", "Cd", "Cd"], "frac_coords": [[0.000, 0.000, 0.000], [0.166, 0.834, 0.500], [0.326, 0.674, 0.000], [0.500, 0.500, 0.500], [0.674, 0.326, 0.000], [0.834, 0.166, 0.500]]}

---

{"formula": "Ho3Cd8", "functional": "GGA-PBE", "state": "relaxed", "formation_energy_ev_per_atom": -0.2564, "spacegroup": "R-3m (166)", "dft_energy_ev_per_atom": -2.17, "dos_at_fermi_per_ev_atom": 0.487, "lattice": [[2.473, 1.428, 12.346], [-2.473, 1.428, 12.346], [0.000, -2.856, 12.346]], "species": ["Ho", "Ho", "Ho", "Cd", "Cd", "Cd", "Cd", "Cd", "Cd", "Cd", "Cd"], "frac_coords": [[0.000, 0.000, 0.000], [0.453, 0.453, 0.453], [0.547, 0.547, 0.547], [0.084, 0.084, 0.084], [0.163, 0.163, 0.163], [0.277, 0.277, 0.277], [0.366, 0.366, 0.366], [0.634, 0.634, 0.634], [0.723, 0.723, 0.723], [0.837, 0.837, 0.837], [0.916, 0.916, 0.916]]}

---

{"formula": "Ho3Cd", "functional": "GGA-PBE", "state": "relaxed", "formation_energy_ev_per_atom": -0.0664, "e_above_lowest_polymorph_ev_per_atom": 0.076, "spacegroup": "I4/mmm (139)", "dft_energy_ev_per_atom": -3.73, "dos_at_fermi_per_ev_atom": 1.298, "lattice": [[-2.395, 2.395, 4.867], [2.395, -2.395, 4.867], [2.395, 2.395, -4.867]], "species": ["Ho", "Ho", "Ho", "Cd"], "frac_coords": [[0.000, 0.000, 0.000], [0.250, 0.750, 0.500], [0.750, 0.250, 0.500], [0.500, 0.500, 0.000]]}

---

{"formula": "Ho2Cd13", "functional": "GGA-PBE", "state": "relaxed", "formation_energy_ev_per_atom": -0.0140, "spacegroup": "R-3m (166)", "dft_energy_ev_per_atom": -1.42, "dos_at_fermi_per_ev_atom": 0.358, "lattice": [[3.943, 2.276, 6.949], [-3.943, 2.276, 6.949], [0.000, -4.552, 6.949]], "species": ["Ho", "Ho", "Cd", "Cd", "Cd", "Cd", "Cd", "Cd", "Cd", "Cd", "Cd", "Cd", "Cd", "Cd", "Cd"], "frac_coords": [[0.155, 0.155, 0.155], [0.845, 0.845, 0.845], [0.000, 0.000, 0.000], [0.151, 0.151, 0.539], [0.151, 0.539, 0.151], [0.312, 0.312, 0.679], [0.312, 0.679, 0.312], [0.321, 0.688, 0.688], [0.461, 0.849, 0.849], [0.539, 0.151, 0.151], [0.679, 0.312, 0.312], [0.688, 0.321, 0.688], [0.688, 0.688, 0.321], [0.849, 0.461, 0.849], [0.849, 0.849, 0.461]]}

---

{"formula": "HoCd4", "functional": "GGA-PBE", "state": "relaxed", "formation_energy_ev_per_atom": -0.2028, "e_above_lowest_polymorph_ev_per_atom": 0.000, "spacegroup": "Imma (74)", "dft_energy_ev_per_atom": -1.85, "dos_at_fermi_per_ev_atom": 0.617, "lattice": [[-2.423, 3.288, 7.407], [2.423, -3.288, 7.407], [2.423, 3.288, -7.407]], "species": ["Ho", "Ho", "Cd", "Cd", "Cd", "Cd", "Cd", "Cd", "Cd", "Cd"], "frac_coords": [[0.355, 0.105, 0.250], [0.645, 0.895, 0.750], [0.000, 0.500, 0.500], [0.138, 0.888, 0.250], [0.202, 0.698, 0.505], [0.307, 0.302, 0.005], [0.500, 0.500, 0.000], [0.693, 0.698, 0.995], [0.798, 0.302, 0.495], [0.862, 0.112, 0.750]]}

---

{"formula": "Ho5Cd6", "functional": "GGA-PBE", "state": "relaxed", "formation_energy_ev_per_atom": -0.2071, "spacegroup": "Immm (71)", "dft_energy_ev_per_atom": -2.79, "dos_at_fermi_per_ev_atom": 0.965, "lattice": [[-2.630, 3.630, 7.718], [2.630, -3.630, 7.718], [2.630, 3.630, -7.718]], "species": ["Ho", "Ho", "Ho", "Ho", "Ho", "Cd", "Cd", "Cd", "Cd", "Cd", "Cd"], "frac_coords": [[0.000, 0.000, 0.000], [0.161, 0.661, 0.500], [0.318, 0.318, 0.000], [0.682, 0.682, 0.000], [0.839, 0.339, 0.500], [0.128, 0.848, 0.280], [0.283, 0.500, 0.783], [0.432, 0.152, 0.280], [0.568, 0.848, 0.720], [0.717, 0.500, 0.217], [0.872, 0.152, 0.720]]}